Record 1
16
Lattice="3.924 0.000 0.000 0.000 3.924 0.000 0.000 0.000 15.543" Properties=species:S:1:pos:R:3 comment="TaCu3Pd12 (PBE, relaxed)" formation_energy_ev_per_atom=-0.184 sg="No. 123" dos_at_fermi_per_ev_cell=16.8 pbc="T T T"
Pd 1.962 1.962 0.000
Pd 0.000 1.962 1.948
Pd 1.962 1.962 11.626
Pd 0.000 1.962 13.595
Pd 0.000 1.962 9.684
Pd 1.962 1.962 3.917
Pd 1.962 0.000 13.595
Pd 1.962 0.000 9.684
Pd 1.962 0.000 5.859
Pd 1.962 1.962 7.772
Pd 1.962 0.000 1.948
Pd 0.000 1.962 5.859
Cu 0.000 0.000 11.579
Cu 0.000 0.000 7.772
Cu 0.000 0.000 3.964
Ta 0.000 0.000 0.000

=====

Record 2
20
Lattice="-1.003 3.511 -2.825 3.117 -3.806 -5.837 -9.639 -2.224 0.659" Properties=species:S:1:pos:R:3 comment="Cd3CuPd6 (PBE, relaxed)" de_polymorph_mev_per_atom=0.0 formation_energy_ev_per_atom=-0.280 sg="No. 11" dos_at_fermi_per_ev_cell=6.8 pbc="T T T"
Cd -5.260 -0.450 -4.350
Cd -0.179 1.758 -3.410
Cd -2.266 -2.069 -3.653
Cd -6.630 -2.223 -2.294
Cd -0.896 -0.297 -5.709
Cd -7.347 -4.278 -4.593
Pd -8.392 -1.261 -0.473
Pd -7.118 0.557 -2.438
Pd -2.811 0.686 -3.808
Pd 0.420 -1.051 -3.341
Pd -1.473 -0.118 -1.509
Pd -0.408 -3.077 -5.565
Pd -4.715 -3.205 -4.195
Pd 0.867 -1.258 -7.530
Pd -4.128 -1.098 -1.784
Pd -6.052 -2.402 -6.494
Pd -3.398 -1.422 -6.218
Pd -7.946 -1.469 -4.662
Cu -2.840 -4.062 -5.926
Cu -4.686 1.542 -2.077